# Co2SbTe | Alexandria via LeMat-Bulk | GGA-PBE | optimized geometry
data_Co2SbTe
_cell_length_a 3.9040
_cell_length_b 3.9040
_cell_length_c 18.4271
_cell_angle_alpha 90.00
_cell_angle_beta 90.00
_cell_angle_gamma 120.00
_symmetry_space_group_name_H-M 'R 3 m'
_symmetry_Int_Tables_number 160
_symmetry_space_group_name_Hall 'R 3 -2"'
loop_
_atom_site_label
_atom_site_type_symbol
_atom_site_fract_x
_atom_site_fract_y
_atom_site_fract_z
Co1 Co 0.0000 0.0000 0.0000
Co2 Co 0.0000 0.0000 0.3043
Sb1 Sb 0.0000 0.0000 0.7397
Te1 Te 0.0000 0.0000 0.5659
# ΔE_f (raw): 0.05 eV per atom
# Energy above the lowest structure with this stoichiometry: 63 kJ/mol of formula units